This record from OQMD describes crystalline Tb11Ge10 at its relaxed geometry. The functional is PBE.

Summary:
- Raw total energy: -5.473 eV per atom

a = 11.348 Å, b = 11.348 Å, c = 11.348 Å
α = 122.30°, β = 122.30°, γ = 86.07°
Positions (direct):
Ge: 0.528 0.108 0.000
Ge: 0.381 0.619 0.000
Ge: 0.619 0.381 0.000
Tb: 0.062 0.810 0.252
Ge: 0.381 0.381 0.761
Tb: 0.810 0.062 0.252
Tb: 0.190 0.443 0.252
Tb: 0.810 0.557 0.748
Tb: 0.925 0.603 0.323
Tb: 0.178 0.178 0.356
Tb: 0.938 0.190 0.748
Ge: 0.000 0.362 0.362
Tb: 0.178 0.822 0.000
Tb: 0.557 0.810 0.748
Ge: 0.892 0.892 0.419
Ge: 0.619 0.619 0.239
Ge: 0.528 0.528 0.419
Ge: 0.362 0.000 0.362
Ge: 0.888 0.888 0.000
Tb: 0.340 0.340 0.000
Ge: 0.108 0.528 0.000
Tb: 0.280 0.603 0.677
Ge: 0.472 0.472 0.581
Ge: 0.000 0.638 0.638
Ge: 0.638 0.000 0.638
Tb: 0.603 0.280 0.677
Ge: 0.250 0.750 0.500
Tb: 0.603 0.925 0.323
Ge: 0.892 0.472 0.000
Tb: 0.443 0.190 0.252
Ge: 0.472 0.892 0.000
Tb: 0.660 0.660 0.000
Tb: 0.190 0.938 0.748
Tb: 0.397 0.075 0.677
Tb: 0.075 0.397 0.677
Ge: 0.108 0.108 0.581
Tb: 0.397 0.720 0.323
Ge: 0.112 0.112 0.000
Tb: 0.720 0.397 0.323
Ge: 0.750 0.250 0.500
Tb: 0.822 0.178 0.000
Tb: 0.822 0.822 0.644